No. 1
Compound: Ba4AsSCl2
Source: Alexandria via LeMat-Bulk
Functional: GGA-PBE
Structure: optimized geometry

Cell lengths 9.2703, 9.2703, 9.2703 Å; angles 120.48, 119.44, 90.07 degrees
With the nearest neighbours (Å) after each atom.
Element x y z (fractional)
Ba  0.2562  0.2452  0.4890  1 S 3.20, 2 As 3.21, 3 Cl 3.35-3.36
Ba  0.2562  0.7672  0.0110  1 S 3.20, 2 As 3.21, 3 Cl 3.35-3.36
Ba  0.2580  0.2435  0.0146  2 S 3.19, 1 As 3.19, 3 Cl 3.36-3.38
Ba  0.2711  0.7565  0.5146  2 S 3.19, 1 As 3.19, 3 Cl 3.36-3.38
Ba  0.7289  0.2435  0.4854  2 S 3.19, 1 As 3.19, 3 Cl 3.36-3.38
Ba  0.7420  0.7565  0.9854  2 S 3.19, 1 As 3.19, 3 Cl 3.36-3.38
Ba  0.7438  0.2328  0.9890  1 S 3.20, 2 As 3.21, 3 Cl 3.35-3.36
Ba  0.7438  0.7548  0.5110  1 S 3.20, 2 As 3.21, 3 Cl 3.35-3.36
As  0.0000  0.0000  0.0000  6 Ba 3.19-3.21
As  0.5000  0.0000  0.5000  6 Ba 3.19-3.21
S  0.5000  0.0000  0.0000  6 Ba 3.19-3.20
S  0.5000  0.5000  0.5000  6 Ba 3.19-3.20
Cl  0.0000  0.0000  0.5000  6 Ba 3.36-3.38
Cl  0.0000  0.5000  0.0000  6 Ba 3.36-3.38
Cl  0.0000  0.5000  0.5000  6 Ba 3.35-3.36
Cl  0.5000  0.5000  0.0000  6 Ba 3.35-3.36

Computed properties:
As for the total moment: 0.00 Bohr magnetons per cell. The calculation puts the density of states at the Fermi level at 0.3972 states/eV/atom. Its uncorrected formation energy is -14.73 eV/f.u. The space group is Imma (74). The mass density is 4.28 g cm⁻³. The volume comes out at 35.23 Å³ per atom.

***

No. 2
Compound: Tb5Pr3
Source: Alexandria via LeMat-Bulk
Functional: GGA-PBE
Structure: optimized geometry

Cell lengths 3.6238, 3.6238, 20.4472 Å; angles 90.00, 90.00, 90.00 degrees
With the nearest neighbours (Å) after each atom.
Element x y z (fractional)
Tb  0.0000  0.0000  0.0000  4 Tb 3.62, 8 Pr 3.64
Tb  0.0000  0.0000  0.2524  8 Tb 3.57-3.62, 4 Pr 3.64
Tb  0.0000  0.0000  0.7476  8 Tb 3.57-3.62, 4 Pr 3.64
Tb  0.5000  0.5000  0.3740  8 Tb 3.57-3.62, 4 Pr 3.63
Tb  0.5000  0.5000  0.6260  8 Tb 3.57-3.62, 4 Pr 3.63
Pr  0.0000  0.0000  0.5000  4 Pr 3.62, 8 Tb 3.63
Pr  0.5000  0.5000  0.1262  4 Pr 3.62, 8 Tb 3.64
Pr  0.5000  0.5000  0.8738  4 Pr 3.62, 8 Tb 3.64

Computed properties:
The formation energy comes out at 0.020 eV per atom. As for the total moment: 0.00 Bohr magnetons per cell. The calculation puts the density of states at the Fermi level at 1.3984 states/eV/atom. The space group is P4/mmm (123). The mass density is 7.53 g cm⁻³. The volume comes out at 33.56 Å³ per atom.

***

Repeat the first record exactly.
Compound: Ba4AsSCl2
Source: Alexandria via LeMat-Bulk
Functional: GGA-PBE
Structure: optimized geometry

Cell lengths 9.2703, 9.2703, 9.2703 Å; angles 120.48, 119.44, 90.07 degrees
With the nearest neighbours (Å) after each atom.
Element x y z (fractional)
Ba  0.2562  0.2452  0.4890  1 S 3.20, 2 As 3.21, 3 Cl 3.35-3.36
Ba  0.2562  0.7672  0.0110  1 S 3.20, 2 As 3.21, 3 Cl 3.35-3.36
Ba  0.2580  0.2435  0.0146  2 S 3.19, 1 As 3.19, 3 Cl 3.36-3.38
Ba  0.2711  0.7565  0.5146  2 S 3.19, 1 As 3.19, 3 Cl 3.36-3.38
Ba  0.7289  0.2435  0.4854  2 S 3.19, 1 As 3.19, 3 Cl 3.36-3.38
Ba  0.7420  0.7565  0.9854  2 S 3.19, 1 As 3.19, 3 Cl 3.36-3.38
Ba  0.7438  0.2328  0.9890  1 S 3.20, 2 As 3.21, 3 Cl 3.35-3.36
Ba  0.7438  0.7548  0.5110  1 S 3.20, 2 As 3.21, 3 Cl 3.35-3.36
As  0.0000  0.0000  0.0000  6 Ba 3.19-3.21
As  0.5000  0.0000  0.5000  6 Ba 3.19-3.21
S  0.5000  0.0000  0.0000  6 Ba 3.19-3.20
S  0.5000  0.5000  0.5000  6 Ba 3.19-3.20
Cl  0.0000  0.0000  0.5000  6 Ba 3.36-3.38
Cl  0.0000  0.5000  0.0000  6 Ba 3.36-3.38
Cl  0.0000  0.5000  0.5000  6 Ba 3.35-3.36
Cl  0.5000  0.5000  0.0000  6 Ba 3.35-3.36

Computed properties:
As for the total moment: 0.00 Bohr magnetons per cell. The calculation puts the density of states at the Fermi level at 0.3972 states/eV/atom. Its uncorrected formation energy is -14.73 eV/f.u. The space group is Imma (74). The mass density is 4.28 g cm⁻³. The volume comes out at 35.23 Å³ per atom.

***

What is the total moment in the first record?
0.00 Bohr magnetons per cell

***

Which value of mass density does entry 2 give?
7.53 g cm⁻³